An optimized crystal structure of RbLiSb2Se4. Source: Alexandria, functional PBE.

The structure belongs to space group Cmcm (No. 63); the cell edges are 4.2187, 14.3264 and 14.8768 Å and the angles 90.00°, 90.00° and 90.00°. Symmetry generates all atoms from Rb at (0.0000, 0.1066, 0.2500), Li at (0.0000, 0.1648, 0.7500), Sb at (0.0000, 0.3670, 0.0624), Se at (0.0000, 0.0000, 0.0000), Se at (0.0000, 0.2616, 0.6054) and Se at (0.0000, 0.4233, 0.2500).

The value obtained for the formation energy without anion corrections is -0.647 eV per atom.